The following is a GGA+U calculation of a relaxed CrReIO2 crystal, from Alexandria via LeMat-Bulk.

The structure in POSCAR format:
```
CrReIO2
1.0
3.8749 0.0000 0.0000
0.0000 3.8749 0.0000
0.0000 0.0000 6.2618
Cr Re I O
1 1 1 2
Direct
0.0000 0.0000 0.0000
0.5000 0.5000 0.5000
0.5000 0.5000 0.0000
0.0000 0.5000 0.5000
0.5000 0.0000 0.5000
```

Energy above the most stable polymorph in this dataset   0.000 eV/atom
Density   7.01 g/cm3
Magnetization   4.4 Bohr magnetons per cell
Space-group type   P4/mmm (123)